# HoSn2As2Pd7

An optimized crystal structure of HoSn2As2Pd7 (PBE, Alexandria via LeMat-Bulk).

The total energy is -127.83 eV/cell. As for the total magnetic moment: 0.00 μB per cell. As for the crystal system: monoclinic. As for the energy of formation from the pure elements: -474 meV/atom.

Geometry as CIF:
```
data_HoSn2As2Pd7
_space_group_name_H-M_alt 'C 1 2/m 1'
_space_group_IT_number 12
_space_group_name_Hall '-C 2y'
_cell_length_a 5.961
_cell_length_b 5.905
_cell_length_c 12.703
_cell_angle_alpha 90.00
_cell_angle_beta 96.15
_cell_angle_gamma 90.00
loop_
_atom_site_label
_atom_site_type_symbol
_atom_site_fract_x
_atom_site_fract_y
_atom_site_fract_z
_atom_site_occupancy
Ho1 Ho 0.000 0.000 0.000 1
Sn1 Sn 0.071 0.000 0.338 1
As1 As 0.061 0.500 0.278 1
Pd1 Pd 0.000 0.500 0.000 1
Pd2 Pd 0.214 0.248 0.837 1
Pd3 Pd 0.222 0.500 0.469 1
```